i) Below is a relaxed structure of Ac2Pm2Y, with properties calculated at the PBE-GGA level.

The structure belongs to space group C2/c (No. 15); the cell edges are 18.088, 6.801 and 6.620 Å and the angles 90.00°, 109.53° and 90.00°. Symmetry generates all atoms from Ac at (0.192, 0.137, 0.193), Pm at (0.089, 0.389, 0.665) and Y at (0.000, 0.076, 0.250).

ii) Below is a relaxed structure of Ac2Pm2Y, with properties calculated at the PBE-GGA level.

The structure belongs to space group I4/mmm (No. 139); the cell edges are 4.948, 4.948 and 16.675 Å and the angles 90.00°, 90.00° and 90.00°. Symmetry generates all atoms from Ac at (0.000, 0.500, 0.250), Pm at (0.000, 0.000, 0.091) and Y at (0.000, 0.000, 0.500).

Each structure's energy above the most stable one, in meV/atom: i) 0; ii) 358.

i) Below is a relaxed structure of AcPm4Y2, with properties calculated at the PBE-GGA level.

The structure belongs to space group Cmmm (No. 65); the cell edges are 6.261, 13.261 and 6.154 Å and the angles 90.00°, 90.00° and 90.00°. Symmetry generates all atoms from Ac at (0.000, 0.000, 0.000), Pm at (0.000, 0.139, 0.500), Pm at (0.000, 0.300, 0.000) and Y at (0.000, 0.386, 0.500).

ii) Below is a relaxed structure of AcPm4Y2, with properties calculated at the PBE-GGA level.

The structure belongs to space group C2/m (No. 12); the cell edges are 12.211, 6.543 and 6.405 Å and the angles 90.00°, 98.83° and 90.00°. Symmetry generates all atoms from Ac at (0.000, 0.000, 0.000), Pm at (0.162, 0.000, 0.509), Pm at (0.250, 0.250, 0.000) and Y at (0.041, 0.500, 0.266).

Each structure's energy above the most stable one, in meV/atom: i) 209; ii) 0.

i) Below is a relaxed structure of Ac2PmZn, with properties calculated at the PBE-GGA level.

The structure belongs to space group P4/mmm (No. 123); the cell edges are 3.905, 3.905 and 9.207 Å and the angles 90.00°, 90.00° and 90.00°. Symmetry generates all atoms from Ac at (0.000, 0.000, 0.212), Pm at (0.500, 0.500, 0.500) and Zn at (0.500, 0.500, 0.000).

ii) Below is a relaxed structure of Ac2PmZn, with properties calculated at the PBE-GGA level.

The structure belongs to space group R-3m (No. 166, hexagonal axes); the cell edges are 3.8005, 3.8005 and 37.9934 Å and the angles 90.00°, 90.00° and 120.00°. Symmetry generates all atoms from Ac at (0.0000, 0.0000, 0.0867), Pm at (0.0000, 0.0000, 0.5000) and Zn at (0.0000, 0.0000, 0.0000).

Each structure's energy above the most stable one, in meV/atom: i) 0; ii) 396.

i) Below is a relaxed structure of AcPmZn2, with properties calculated at the PBE-GGA level.

The structure belongs to space group R-3m (No. 166, hexagonal axes); the cell edges are 3.8684, 3.8684 and 27.5921 Å and the angles 90.00°, 90.00° and 120.00°. Symmetry generates all atoms from Ac at (0.0000, 0.0000, 0.0000), Pm at (0.0000, 0.0000, 0.5000) and Zn at (0.0000, 0.0000, 0.2446).

ii) Below is a relaxed structure of AcPmZn2, with properties calculated at the PBE-GGA level.

The structure belongs to space group P4/mmm (No. 123); the cell edges are 3.785, 3.785 and 7.571 Å and the angles 90.00°, 90.00° and 90.00°. Symmetry generates all atoms from Ac at (0.000, 0.000, 0.000), Pm at (0.000, 0.000, 0.500) and Zn at (0.500, 0.500, 0.279).

iii) Below is a relaxed structure of AcPmZn2, with properties calculated at the PBE-GGA level.

The structure belongs to space group Fm-3m (No. 225); the cell edges are 7.577, 7.577 and 7.577 Å and the angles 90.00°, 90.00° and 90.00°. Symmetry generates all atoms from Ac at (0.000, 0.000, 0.000), Pm at (0.000, 0.000, 0.500) and Zn at (0.250, 0.250, 0.250).

Each structure's energy above the most stable one, in meV/atom: i) 208; ii) 0; iii) 15.

i) Below is a relaxed structure of AcPr6, with properties calculated at the PBE-GGA level.

The structure belongs to space group R-3 (No. 148, hexagonal axes); the cell edges are 15.7850, 15.7850 and 3.6665 Å and the angles 90.00°, 90.00° and 120.00°. Symmetry generates all atoms from Ac at (0.0000, 0.0000, 0.0000) and Pr at (0.0374, 0.8017, 0.7185).

ii) Below is a relaxed structure of AcPr6, with properties calculated at the PBE-GGA level.

The structure belongs to space group Im-3m (No. 229); the cell edges are 8.385, 8.385 and 8.385 Å and the angles 90.00°, 90.00° and 90.00°. Symmetry generates all atoms from Ac at (0.000, 0.000, 0.000) and Pr at (0.000, 0.250, 0.500).

Each structure's energy above the most stable one, in meV/atom: i) 0; ii) 861.

i) Below is a relaxed structure of Ac3Pr, with properties calculated at the PBE-GGA level.

The structure belongs to space group Pm-3m (No. 221); the cell edges are 5.543, 5.543 and 5.543 Å and the angles 90.00°, 90.00° and 90.00°. Symmetry generates all atoms from Ac at (0.000, 0.000, 0.500) and Pr at (0.500, 0.500, 0.500).

ii) Below is a relaxed structure of Ac3Pr, with properties calculated at the PBE-GGA level.

The structure belongs to space group Fm-3m (No. 225); the cell edges are 8.846, 8.846 and 8.846 Å and the angles 90.00°, 90.00° and 90.00°. Symmetry generates all atoms from Ac at (0.000, 0.000, 0.000), Ac at (0.250, 0.250, 0.250) and Pr at (0.000, 0.000, 0.500).

Each structure's energy above the most stable one, in meV/atom: i) 0; ii) 125.